[1]
DFT (PBEsol) results for a relaxed P3Cl crystal.

The structure in extended XYZ format:
```
4
Lattice="3.360 0.000 0.000 -1.680 2.910 0.000 0.000 0.000 6.934" Properties=species:S:1:pos:R:3 pbc="T T T"
P 0.000 0.000 0.000
P 0.000 1.940 1.380
P 0.000 1.940 5.554
Cl 0.000 0.000 3.467
```

offset from the most stable computed form: 63.0 meV per atom

[2]
DFT (PBEsol) results for a relaxed MgAl2H8 crystal.

The structure in extended XYZ format:
```
11
Lattice="4.575 0.000 0.000 2.184 4.188 0.000 1.754 0.285 6.175" Properties=species:S:1:pos:R:3 pbc="T T T"
Mg 0.000 0.000 0.000
Al 4.027 1.729 4.370
Al 4.486 2.743 1.805
H 3.271 2.999 5.078
H 2.928 2.970 1.324
H 3.334 0.429 5.189
H 3.564 1.317 2.841
H 4.949 3.155 3.334
H 5.179 4.044 0.986
H 5.585 1.502 4.851
H 5.242 1.473 1.097
```

offset from the most stable computed form: 0.0 meV per atom

> Look up the offset from the most stable computed form of the second one.

0.0 meV per atom

Please write out number 2 again, unchanged.
DFT (PBEsol) results for a relaxed MgAl2H8 crystal.

The structure in extended XYZ format:
```
11
Lattice="4.575 0.000 0.000 2.184 4.188 0.000 1.754 0.285 6.175" Properties=species:S:1:pos:R:3 pbc="T T T"
Mg 0.000 0.000 0.000
Al 4.027 1.729 4.370
Al 4.486 2.743 1.805
H 3.271 2.999 5.078
H 2.928 2.970 1.324
H 3.334 0.429 5.189
H 3.564 1.317 2.841
H 4.949 3.155 3.334
H 5.179 4.044 0.986
H 5.585 1.502 4.851
H 5.242 1.473 1.097
```

offset from the most stable computed form: 0.0 meV per atom

Copy entry 1 word for word.
DFT (PBEsol) results for a relaxed P3Cl crystal.

The structure in extended XYZ format:
```
4
Lattice="3.360 0.000 0.000 -1.680 2.910 0.000 0.000 0.000 6.934" Properties=species:S:1:pos:R:3 pbc="T T T"
P 0.000 0.000 0.000
P 0.000 1.940 1.380
P 0.000 1.940 5.554
Cl 0.000 0.000 3.467
```

offset from the most stable computed form: 63.0 meV per atom

> Which formula does entry 2 have?

MgAl2H8